Record 1
# TlAg3Sn

TlAg3Sn at its PBEsol-relaxed geometry (SCAN, the Alexandria database).

Values from the calculation:
The density of states at the Fermi level is 0.91 states/eV/f.u. Its space-group type is Pm-3m, No. 221. The calculated formation energy is 0.365 eV/atom. The value obtained for the excess energy over the best structure of this formula in the dataset is 0.000 eV/atom.

a b c (Å): 5.1505 5.1505 5.1505
angles (deg): 90.00 90.00 90.00
Element x y z (fractional)
Tl (0.5000, 0.5000, 0.5000)
Sn (0.0000, 0.0000, 0.0000)
Ag (0.0000, 0.5000, 0.0000)
Ag (0.0000, 0.0000, 0.5000)
Ag (0.5000, 0.0000, 0.0000)


Record 2
# RbTlCl3

RbTlCl3 at its PBEsol-relaxed geometry (SCAN, the Alexandria database).

Values from the calculation:
Its space-group type is Fm-3m, No. 225. The value obtained for the raw formation energy is -1393 meV/atom.

a b c (Å): 7.7532 7.7532 7.7532
angles (deg): 60.00 60.00 60.00
Element x y z (fractional)
Tl (0.5000, 0.5000, 0.5000)
Tl (0.0000, 0.0000, 0.0000)
Rb (0.2500, 0.2500, 0.2500)
Rb (0.7500, 0.7500, 0.7500)
Cl (0.2366, 0.7634, 0.2366)
Cl (0.2366, 0.2366, 0.7634)
Cl (0.7634, 0.7634, 0.2366)
Cl (0.7634, 0.2366, 0.2366)
Cl (0.2366, 0.7634, 0.7634)
Cl (0.7634, 0.2366, 0.7634)


Record 3
# NaTeP2S

NaTeP2S at its PBEsol-relaxed geometry (SCAN, the Alexandria database).

Values from the calculation:
The density of states at the Fermi level is 3.08 states/eV/f.u. Its space-group type is P4/mmm, No. 123. The value obtained for the raw formation energy is 610 meV/atom.

a b c (Å): 5.0850 5.0850 5.1577
angles (deg): 90.00 90.00 90.00
Site moments in Bohr magnetons follow the coordinates.
Element x y z (fractional)
P (0.0000, 0.5000, 0.0000)  0.39
P (0.5000, 0.0000, 0.0000)  0.39
S (0.0000, 0.0000, 0.5000)  0.20
Te (0.0000, 0.0000, 0.0000)  0.00
Na (0.5000, 0.5000, 0.5000)  0.00


Record 4
# CsSc2Bi2

CsSc2Bi2 at its PBEsol-relaxed geometry (SCAN, the Alexandria database).

Values from the calculation:
The density of states at the Fermi level is 1.76 states/eV/f.u. Its space-group type is I4/mmm, No. 139. The calculated formation energy is -0.608 eV/atom.

a b c (Å): 4.9071 4.9071 8.3470
angles (deg): 107.09 107.09 90.00
Site moments in Bohr magnetons follow the coordinates.
Element x y z (fractional)
Cs (0.0000, 0.0000, 0.0000)  0.00
Sc (0.2500, 0.7500, 0.5000)  0.38
Sc (0.7500, 0.2500, 0.5000)  0.38
Bi (0.3575, 0.3575, 0.7150)  -0.08
Bi (0.6425, 0.6425, 0.2850)  -0.08


Number 1: E -40.11 eV per atom, total magnetic moment 0.00 μB per formula unit. Number 2: E -24.80 eV per atom, total magnetic moment 0.00 μB per formula unit. Number 3: E -13.77 eV per atom, total magnetic moment 2.01 μB per formula unit. Number 4: E -45.30 eV per atom, total magnetic moment 1.01 μB per formula unit.